[1]
# Y3Rh, optimized geometry, DFT PBE-GGA
data_Y3Rh
_cell_length_a 3.7590
_cell_length_b 3.7590
_cell_length_c 28.5637
_cell_angle_alpha 90.00
_cell_angle_beta 90.00
_cell_angle_gamma 120.00
_symmetry_space_group_name_H-M 'P 1'
_symmetry_Int_Tables_number 1
loop_
_symmetry_equiv_pos_as_xyz
'x,y,z'
loop_
_atom_site_label
_atom_site_type_symbol
_atom_site_fract_x
_atom_site_fract_y
_atom_site_fract_z
Y1 Y 0.0000 0.0000 0.0000
Y2 Y 0.0000 0.0000 0.2266
Y3 Y 0.0000 0.0000 0.7734
Y4 Y 0.3333 0.6667 0.4401
Y5 Y 0.3333 0.6667 0.6667
Y6 Y 0.3333 0.6667 0.8932
Y7 Y 0.6667 0.3333 0.1068
Y8 Y 0.6667 0.3333 0.3333
Y9 Y 0.6667 0.3333 0.5599
Rh1 Rh 0.0000 0.0000 0.5000
Rh2 Rh 0.3333 0.6667 0.1667
Rh3 Rh 0.6667 0.3333 0.8333
# Total energy: -83.72 eV for the cell shown

---

[2]
# Tc2SbCl, optimized geometry, DFT PBE-GGA
data_Tc2SbCl
_cell_length_a 3.1999
_cell_length_b 3.1999
_cell_length_c 6.4802
_cell_angle_alpha 90.00
_cell_angle_beta 90.00
_cell_angle_gamma 90.00
_symmetry_space_group_name_H-M 'P 1'
_symmetry_Int_Tables_number 1
loop_
_symmetry_equiv_pos_as_xyz
'x,y,z'
loop_
_atom_site_label
_atom_site_type_symbol
_atom_site_fract_x
_atom_site_fract_y
_atom_site_fract_z
Tc1 Tc 0.0000 0.0000 0.2411
Tc2 Tc 0.0000 0.0000 0.7589
Sb1 Sb 0.5000 0.5000 0.0000
Cl1 Cl 0.5000 0.5000 0.5000
# Total energy: -24.44 eV for the cell shown
# Polymorph energy (0 for the lowest one): 0.655 eV/atom
# Energy relative to the elements, uncorrected: 0.5652 eV per atom

---

[3]
# Pm2ErPd9, optimized geometry, DFT PBE-GGA
data_Pm2ErPd9
_cell_length_a 4.1651
_cell_length_b 4.1651
_cell_length_c 12.4402
_cell_angle_alpha 90.00
_cell_angle_beta 90.00
_cell_angle_gamma 90.00
_symmetry_space_group_name_H-M 'P 1'
_symmetry_Int_Tables_number 1
loop_
_symmetry_equiv_pos_as_xyz
'x,y,z'
loop_
_atom_site_label
_atom_site_type_symbol
_atom_site_fract_x
_atom_site_fract_y
_atom_site_fract_z
Pm1 Pm 0.0000 0.0000 0.1700
Pm2 Pm 0.0000 0.0000 0.8300
Er1 Er 0.0000 0.0000 0.5000
Pd1 Pd 0.0000 0.5000 0.0000
Pd2 Pd 0.0000 0.5000 0.3386
Pd3 Pd 0.0000 0.5000 0.6614
Pd4 Pd 0.5000 0.0000 0.0000
Pd5 Pd 0.5000 0.0000 0.3386
Pd6 Pd 0.5000 0.0000 0.6614
Pd7 Pd 0.5000 0.5000 0.1683
Pd8 Pd 0.5000 0.5000 0.5000
Pd9 Pd 0.5000 0.5000 0.8317
# Total energy: -70.68 eV for the cell shown

---

[4]
# Pu2UGa2Ru5, optimized geometry, DFT PBE-GGA
data_Pu2UGa2Ru5
_cell_length_a 9.9962
_cell_length_b 9.9962
_cell_length_c 3.5285
_cell_angle_alpha 90.00
_cell_angle_beta 90.00
_cell_angle_gamma 90.00
_symmetry_space_group_name_H-M 'P 1'
_symmetry_Int_Tables_number 1
loop_
_symmetry_equiv_pos_as_xyz
'x,y,z'
loop_
_atom_site_label
_atom_site_type_symbol
_atom_site_fract_x
_atom_site_fract_y
_atom_site_fract_z
Pu1 Pu 0.1676 0.3324 0.0000
Pu2 Pu 0.3324 0.8324 0.0000
Pu3 Pu 0.6676 0.1676 0.0000
Pu4 Pu 0.8324 0.6676 0.0000
U1 U 0.0000 0.0000 0.0000
U2 U 0.5000 0.5000 0.0000
Ga1 Ga 0.1286 0.6286 0.0000
Ga2 Ga 0.3714 0.1286 0.0000
Ga3 Ga 0.6286 0.8714 0.0000
Ga4 Ga 0.8714 0.3714 0.0000
Ru1 Ru 0.0000 0.5000 0.5000
Ru2 Ru 0.0703 0.8016 0.5000
Ru3 Ru 0.1984 0.0703 0.5000
Ru4 Ru 0.3016 0.5703 0.5000
Ru5 Ru 0.4297 0.3016 0.5000
Ru6 Ru 0.5000 0.0000 0.5000
Ru7 Ru 0.5703 0.6984 0.5000
Ru8 Ru 0.6984 0.4297 0.5000
Ru9 Ru 0.8016 0.9297 0.5000
Ru10 Ru 0.9297 0.1984 0.5000
# Total energy: -190.19 eV for the cell shown

---

[5]
# Ho2SiHPt6, optimized geometry, DFT PBE-GGA
data_Ho2SiHPt6
_cell_length_a 5.6414
_cell_length_b 5.6414
_cell_length_c 6.7964
_cell_angle_alpha 114.60
_cell_angle_beta 114.60
_cell_angle_gamma 59.99
_symmetry_space_group_name_H-M 'P 1'
_symmetry_Int_Tables_number 1
loop_
_symmetry_equiv_pos_as_xyz
'x,y,z'
loop_
_atom_site_label
_atom_site_type_symbol
_atom_site_fract_x
_atom_site_fract_y
_atom_site_fract_z
Ho1 Ho 0.2154 0.2154 0.1470
Ho2 Ho 0.7846 0.7846 0.8530
Si1 Si 0.5000 0.5000 0.0000
H1 H 0.0000 0.0000 0.5000
Pt1 Pt 0.2345 0.2345 0.6995
Pt2 Pt 0.2349 0.7313 0.7001
Pt3 Pt 0.2687 0.7651 0.2999
Pt4 Pt 0.7313 0.2349 0.7001
Pt5 Pt 0.7651 0.2687 0.2999
Pt6 Pt 0.7655 0.7655 0.3005
# Total energy: -63.48 eV for the cell shown

---

Repeat the third record exactly.
# Pm2ErPd9, optimized geometry, DFT PBE-GGA
data_Pm2ErPd9
_cell_length_a 4.1651
_cell_length_b 4.1651
_cell_length_c 12.4402
_cell_angle_alpha 90.00
_cell_angle_beta 90.00
_cell_angle_gamma 90.00
_symmetry_space_group_name_H-M 'P 1'
_symmetry_Int_Tables_number 1
loop_
_symmetry_equiv_pos_as_xyz
'x,y,z'
loop_
_atom_site_label
_atom_site_type_symbol
_atom_site_fract_x
_atom_site_fract_y
_atom_site_fract_z
Pm1 Pm 0.0000 0.0000 0.1700
Pm2 Pm 0.0000 0.0000 0.8300
Er1 Er 0.0000 0.0000 0.5000
Pd1 Pd 0.0000 0.5000 0.0000
Pd2 Pd 0.0000 0.5000 0.3386
Pd3 Pd 0.0000 0.5000 0.6614
Pd4 Pd 0.5000 0.0000 0.0000
Pd5 Pd 0.5000 0.0000 0.3386
Pd6 Pd 0.5000 0.0000 0.6614
Pd7 Pd 0.5000 0.5000 0.1683
Pd8 Pd 0.5000 0.5000 0.5000
Pd9 Pd 0.5000 0.5000 0.8317
# Total energy: -70.68 eV for the cell shown

---

- The highest total energy belongs to which entry?
  Tc2SbCl